[1]
# BaY3F11 (SCAN, PBEsol geometry)
data_BaY3F11
_chemical_formula_sum 'Ba2 Y6 F22'
_cell_length_a 7.6190
_cell_length_b 8.0377
_cell_length_c 8.0965
_cell_angle_alpha 80.83
_cell_angle_beta 64.49
_cell_angle_gamma 63.65
_symmetry_space_group_name_H-M 'P -1'
_symmetry_Int_Tables_number 2
loop_
_symmetry_equiv_pos_as_xyz
'x,y,z'
'-x,-y,-z'
loop_
_atom_site_label
_atom_site_type_symbol
_atom_site_fract_x
_atom_site_fract_y
_atom_site_fract_z
Ba1 Ba 0.1883 0.2534 0.3396
Y1 Y 0.2288 0.2466 0.7953
Y2 Y 0.2701 0.7678 0.7089
Y3 Y 0.3111 0.7445 0.1523
F1 F 0.0507 0.6227 0.3052
F2 F 0.0647 0.0361 0.2397
F3 F 0.0711 0.7881 0.0205
F4 F 0.1319 0.5546 0.7878
F5 F 0.2243 0.7191 0.4665
F6 F 0.2688 0.0412 0.6138
F7 F 0.3242 0.3155 0.9927
F8 F 0.3507 0.9141 0.8896
F9 F 0.3988 0.3109 0.5032
F10 F 0.4262 0.8973 0.2636
F11 F 0.4910 0.5639 0.8420
# Relative energy among the computed polymorphs = 0.0 meV/atom
# Final energy = -15.169 eV per atom
# DOS(E_F) = 0.000 states/eV/atom
# Magnetic moment = 0.1 μB/f.u.
# E_form (uncorrected) = -4.367 eV per atom

---

[2]
# Mg2AuSe (SCAN, PBEsol geometry)
data_Mg2AuSe
_chemical_formula_sum 'Mg8 Au4 Se4'
_cell_length_a 5.2593
_cell_length_b 5.2593
_cell_length_c 14.6929
_cell_angle_alpha 90.00
_cell_angle_beta 90.00
_cell_angle_gamma 90.00
_symmetry_space_group_name_H-M 'I -4 2 d'
_symmetry_Int_Tables_number 122
_symmetry_space_group_name_Hall 'I -4 2bw'
loop_
_atom_site_label
_atom_site_type_symbol
_atom_site_fract_x
_atom_site_fract_y
_atom_site_fract_z
Mg1 Mg 0.2472 0.2500 0.1250
Au1 Au 0.0000 0.0000 0.0000
Se1 Se 0.0000 0.0000 0.5000
# Final energy = -25.443 eV per atom
# DOS(E_F) = 0.134 states/eV/atom
# Magnetic moment = 0.0 μB/f.u.
# E_form (uncorrected) = -0.648 eV per atom

---

[3]
# SiPBrO2 (SCAN, PBEsol geometry)
data_SiPBrO2
_chemical_formula_sum 'Si1 P1 Br1 O2'
_cell_length_a 3.4760
_cell_length_b 3.4760
_cell_length_c 5.2295
_cell_angle_alpha 90.00
_cell_angle_beta 90.00
_cell_angle_gamma 90.00
_symmetry_space_group_name_H-M 'P 4/m m m'
_symmetry_Int_Tables_number 123
_symmetry_space_group_name_Hall '-P 4 2'
loop_
_atom_site_label
_atom_site_type_symbol
_atom_site_fract_x
_atom_site_fract_y
_atom_site_fract_z
Si1 Si 0.0000 0.0000 0.0000
P1 P 0.0000 0.0000 0.5000
Br1 Br 0.5000 0.5000 0.5000
O1 O 0.0000 0.5000 0.0000
# Relative energy among the computed polymorphs = 0.0 meV/atom
# Final energy = -11.290 eV per atom
# DOS(E_F) = 0.440 states/eV/atom
# Magnetic moment = 0.0 μB/f.u.
# E_form (uncorrected) = -0.823 eV per atom

---

[4]
# RbTi3Ag (SCAN, PBEsol geometry)
data_RbTi3Ag
_chemical_formula_sum 'Rb1 Ti3 Ag1'
_cell_length_a 5.0179
_cell_length_b 5.0179
_cell_length_c 5.0179
_cell_angle_alpha 90.00
_cell_angle_beta 90.00
_cell_angle_gamma 90.00
_symmetry_space_group_name_H-M 'P m -3 m'
_symmetry_Int_Tables_number 221
_symmetry_space_group_name_Hall '-P 4 2 3'
loop_
_atom_site_label
_atom_site_type_symbol
_atom_site_fract_x
_atom_site_fract_y
_atom_site_fract_z
Rb1 Rb 0.0000 0.0000 0.0000
Ti1 Ti 0.0000 0.5000 0.5000
Ag1 Ag 0.5000 0.5000 0.5000
# Final energy = -18.776 eV per atom
# DOS(E_F) = 0.451 states/eV/atom
# Magnetic moment = 0.0 μB/f.u.
# E_form = 1.26 eV per atom

---

[5]
# As2PRh (SCAN, PBEsol geometry)
data_As2PRh
_chemical_formula_sum 'As4 P2 Rh2'
_cell_length_a 4.2935
_cell_length_b 4.2935
_cell_length_c 6.6718
_cell_angle_alpha 90.00
_cell_angle_beta 90.00
_cell_angle_gamma 90.00
_symmetry_space_group_name_H-M 'I -4 m 2'
_symmetry_Int_Tables_number 119
_symmetry_space_group_name_Hall 'I -4 -2'
loop_
_atom_site_label
_atom_site_type_symbol
_atom_site_fract_x
_atom_site_fract_y
_atom_site_fract_z
As1 As 0.0000 0.0000 0.0000
As2 As 0.0000 0.5000 0.2500
P1 P 0.0000 0.0000 0.5000
Rh1 Rh 0.0000 0.5000 0.7500
# Final energy = -20.824 eV per atom
# DOS(E_F) = 0.616 states/eV/atom
# Magnetic moment = 0.0 μB/f.u.
# E_form = 0.31 eV per atom

---

[6]
# Y2ScRh (SCAN, PBEsol geometry)
data_Y2ScRh
_chemical_formula_sum 'Y2 Sc1 Rh1'
_cell_length_a 3.4367
_cell_length_b 3.4367
_cell_length_c 8.0215
_cell_angle_alpha 90.00
_cell_angle_beta 90.00
_cell_angle_gamma 90.00
_symmetry_space_group_name_H-M 'P 4/m m m'
_symmetry_Int_Tables_number 123
_symmetry_space_group_name_Hall '-P 4 2'
loop_
_atom_site_label
_atom_site_type_symbol
_atom_site_fract_x
_atom_site_fract_y
_atom_site_fract_z
Y1 Y 0.0000 0.0000 0.2014
Sc1 Sc 0.5000 0.5000 0.5000
Rh1 Rh 0.5000 0.5000 0.0000
# Relative energy among the computed polymorphs = 77.0 meV/atom
# Final energy = -26.377 eV per atom
# DOS(E_F) = 0.789 states/eV/atom
# Magnetic moment = 1.8 μB/f.u.
# E_form = -0.45 eV per atom